Computed, not measured: an optimized crystal structure of BaInAg2 at the PBE-GGA level of DFT.

Cell: 5.4036 5.4036 10.2878 Å, 74.77 74.77 90.00°
Closest atoms and distances in Å follow each position.
Positions (direct):
Ba  0.0000  0.0000  0.0000  4 In 3.82, 8 Ag 3.85
Ba  0.7500  0.2500  0.5000  4 In 3.82, 8 Ag 3.85
Ag  0.3759  0.1250  0.2500  2 Ag 2.70, 2 In 2.74
Ag  0.3741  0.6250  0.2500  2 Ag 2.70, 2 In 2.74
Ag  0.3750  0.6241  0.7500  2 Ag 2.70, 2 In 2.74
Ag  0.8750  0.6259  0.7500  2 Ag 2.70, 2 In 2.74
In  0.5000  0.5000  0.0000  4 Ag 2.74
In  0.2500  0.7500  0.5000  4 Ag 2.74

## Properties
Uncorrected energy, eV/atom: -2.69